Record 1
Material: Tb15CeY4
Method: DFT, GGA-PBE
State: optimized geometry

## Properties
The formation energy comes out at 0.0288 eV/atom. The crystal system is tetragonal.

Unit cell a=5.039 b=5.039 c=25.202 alpha=90.00 beta=90.00 gamma=90.00
Space group P4/mmm (No. 123)
Unique sites:
Tb (0.000, 0.000, 0.000)
Tb (0.000, 0.000, 0.200)
Tb (0.000, 0.000, 0.400)
Tb (0.000, 0.500, 0.099)
Tb (0.000, 0.500, 0.299)
Tb (0.000, 0.500, 0.500)
Ce (0.500, 0.500, 0.000)
Y (0.500, 0.500, 0.199)
Y (0.500, 0.500, 0.400)

---

Record 2
Material: Te2SeCl
Method: DFT, GGA-PBE
State: optimized geometry

## Properties
The crystal system is cubic. Its total energy is -2.659 eV/atom.

Unit cell a=7.305 b=7.305 c=7.305 alpha=90.00 beta=90.00 gamma=90.00
Space group F-43m (No. 216)
Unique sites:
Te (0.000, 0.000, 0.000)
Te (0.250, 0.250, 0.250)
Se (0.250, 0.250, 0.750)
Cl (0.000, 0.000, 0.500)

---

Record 3
Material: TaRe3
Method: DFT, GGA-PBE
State: optimized geometry

## Properties
The formation energy comes out at 0.4454 eV/atom. The crystal system is orthorhombic.

Unit cell a=7.216 b=7.855 c=4.736 alpha=90.00 beta=90.00 gamma=90.00
Space group Cmcm (No. 63)
Unique sites:
Ta (0.000, 0.064, 0.250)
Re (0.000, 0.427, 0.250)
Re (0.178, 0.254, 0.750)